No. 1
{"formula": "CuOs2Rh", "functional": "PBE-GGA", "state": "relaxed", "cell": [[4.129, 0.000, 0.000], [0.000, 2.674, -0.014], [0.000, 1.734, 5.034]], "species": ["Os", "Cu", "Os", "Rh"], "frac_coords": [[0.000, 0.895, 0.991], [0.500, 0.750, 0.750], [0.000, 0.605, 0.509], [0.500, 0.250, 0.250]], "crystal_system": "monoclinic", "dos_ef_per_ev_cell": 4.0, "polymorph_energy_mev_per_atom": 210, "ef_ev_per_atom": 0.3602}

No. 2
{"formula": "CuOs2Rh", "functional": "PBE-GGA", "state": "relaxed", "cell": [[2.746, 0.000, 0.000], [0.000, 4.504, 0.000], [0.000, 0.000, 4.576]], "species": ["Cu", "Rh", "Os", "Os"], "frac_coords": [[0.000, 0.500, 0.500], [0.500, 0.000, 0.500], [0.000, 0.000, 0.000], [0.500, 0.500, 0.000]], "crystal_system": "orthorhombic", "dos_ef_per_ev_cell": 4.8, "polymorph_energy_mev_per_atom": 305, "ef_ev_per_atom": 0.4547}

No. 3
{"formula": "CuOs2Rh", "functional": "PBE-GGA", "state": "relaxed", "cell": [[2.670, -0.002, 0.000], [-1.267, 2.350, 0.000], [0.000, 0.000, 9.105]], "species": ["Os", "Os", "Rh", "Cu"], "frac_coords": [[0.000, 0.000, 0.997], [0.500, 0.500, 0.249], [0.000, 0.000, 0.505], [0.500, 0.500, 0.749]], "crystal_system": "orthorhombic", "dos_ef_per_ev_cell": 5.8, "polymorph_energy_mev_per_atom": 296, "ef_ev_per_atom": 0.4457}

No. 4
{"formula": "CuOs2Rh", "functional": "PBE-GGA", "state": "relaxed", "cell": [[4.684, 0.001, -0.007], [3.907, 2.584, -0.007], [0.757, 0.228, 4.591]], "species": ["Cu", "Rh", "Os", "Os"], "frac_coords": [[0.750, 0.750, 0.750], [0.250, 0.250, 0.250], [0.996, 0.996, 0.996], [0.504, 0.504, 0.504]], "crystal_system": "monoclinic", "dos_ef_per_ev_cell": 4.2, "polymorph_energy_mev_per_atom": 82, "ef_ev_per_atom": 0.2315}

No. 5
{"formula": "CuOsRh4", "functional": "PBE-GGA", "state": "relaxed", "cell": [[-0.034, 2.834, 2.992], [-3.009, 2.817, 0.136], [-4.654, -2.181, 4.850]], "species": ["Rh", "Rh", "Rh", "Os", "Rh", "Cu"], "frac_coords": [[0.624, 0.624, 0.127], [0.376, 0.376, 0.873], [0.125, 0.124, 0.626], [0.000, 0.000, 0.000], [0.875, 0.876, 0.374], [0.500, 0.500, 0.500]], "crystal_system": "trigonal", "dos_ef_per_ev_cell": 7.4, "polymorph_energy_mev_per_atom": 428, "ef_ev_per_atom": 0.5148}

No. 6
{"formula": "CuOs2Rh", "functional": "PBE-GGA", "state": "relaxed", "cell": [[-2.718, 2.652, -2.033], [-1.081, -0.753, -4.101], [-3.982, -1.325, -0.969]], "species": ["Cu", "Os", "Os", "Rh"], "frac_coords": [[0.500, 0.500, 0.500], [0.250, 0.250, 0.250], [0.000, 0.000, 0.000], [0.750, 0.750, 0.750]], "crystal_system": "cubic", "dos_ef_per_ev_cell": 4.2, "polymorph_energy_mev_per_atom": 316, "ef_ev_per_atom": 0.4657}

No. 7
{"formula": "Cu2OsRh", "functional": "PBE-GGA", "state": "relaxed", "cell": [[-1.582, -4.288, -0.436], [-0.250, -3.716, -2.684], [3.671, -2.253, 1.601]], "species": ["Os", "Rh", "Cu", "Cu"], "frac_coords": [[0.499, 0.499, 0.523], [0.753, 0.753, 0.725], [0.999, 0.999, 0.023], [0.249, 0.249, 0.229]], "crystal_system": "monoclinic", "dos_ef_per_ev_cell": 3.5, "polymorph_energy_mev_per_atom": 64, "ef_ev_per_atom": 0.1858}

No. 8
{"formula": "Cu2OsRh", "functional": "PBE-GGA", "state": "relaxed", "cell": [[4.663, 0.013, 0.000], [-1.683, 4.349, 0.000], [0.000, 0.000, 2.621]], "species": ["Cu", "Rh", "Os", "Cu"], "frac_coords": [[0.500, 0.500, 0.000], [0.000, 0.500, 0.500], [0.500, 0.000, 0.500], [0.000, 0.000, 0.000]], "crystal_system": "orthorhombic", "dos_ef_per_ev_cell": 5.3, "polymorph_energy_mev_per_atom": 215, "ef_ev_per_atom": 0.3362}

No. 9
{"formula": "Cu2OsRh", "functional": "PBE-GGA", "state": "relaxed", "cell": [[2.720, 0.000, 0.000], [0.000, 2.720, 0.000], [0.000, 0.000, 7.167]], "species": ["Cu", "Os", "Cu", "Rh"], "frac_coords": [[0.000, 0.000, 0.011], [0.000, 0.000, 0.499], [0.500, 0.500, 0.240], [0.500, 0.500, 0.750]], "crystal_system": "tetragonal", "dos_ef_per_ev_cell": 2.9, "polymorph_energy_mev_per_atom": 0, "ef_ev_per_atom": 0.1217}

No. 10
{"formula": "CuOs2Rh", "functional": "PBE-GGA", "state": "relaxed", "cell": [[-5.771, 1.127, 6.728], [-6.605, -1.294, 5.877], [-4.547, -1.110, 7.612]], "species": ["Os", "Os", "Rh", "Cu"], "frac_coords": [[0.001, 0.001, 0.001], [0.499, 0.499, 0.499], [0.250, 0.250, 0.250], [0.750, 0.750, 0.750]], "crystal_system": "trigonal", "dos_ef_per_ev_cell": 3.6, "polymorph_energy_mev_per_atom": 60, "ef_ev_per_atom": 0.2097}

No. 11
{"formula": "Cu4OsRh", "functional": "PBE-GGA", "state": "relaxed", "cell": [[0.000, 3.362, 3.362], [3.362, 0.000, 3.362], [3.362, 3.362, 0.000]], "species": ["Cu", "Os", "Cu", "Cu", "Rh", "Cu"], "frac_coords": [[0.875, 0.375, 0.375], [0.750, 0.750, 0.750], [0.375, 0.375, 0.875], [0.375, 0.875, 0.375], [0.000, 0.000, 0.000], [0.375, 0.375, 0.375]], "crystal_system": "cubic", "dos_ef_per_ev_cell": 4.6, "ef_ev_per_atom": 0.3001}

No. 12
{"formula": "CuOs2Rh", "functional": "PBE-GGA", "state": "relaxed", "cell": [[3.967, 0.000, 0.000], [0.000, 3.744, 0.000], [0.000, 0.000, 3.744]], "species": ["Os", "Rh", "Os", "Cu"], "frac_coords": [[0.000, 0.000, 0.000], [0.500, 0.500, 0.000], [0.000, 0.500, 0.500], [0.500, 0.000, 0.500]], "crystal_system": "tetragonal", "dos_ef_per_ev_cell": 5.9, "polymorph_energy_mev_per_atom": 258, "ef_ev_per_atom": 0.4077}

No. 13
{"formula": "CuOs2Rh", "functional": "PBE-GGA", "state": "relaxed", "cell": [[-0.181, -1.334, 4.574], [0.377, -3.657, -3.036], [2.662, 0.151, 0.149]], "species": ["Rh", "Os", "Os", "Cu"], "frac_coords": [[0.500, 0.000, 0.500], [0.500, 0.500, 0.000], [0.000, 0.000, 0.000], [0.000, 0.500, 0.500]], "crystal_system": "orthorhombic", "dos_ef_per_ev_cell": 5.0, "polymorph_energy_mev_per_atom": 225, "ef_ev_per_atom": 0.3751}

No. 14
{"formula": "CuOs2RuRh", "functional": "PBE-GGA", "state": "relaxed", "cell": [[4.653, 0.000, 0.000], [0.000, 4.649, 0.000], [0.000, 0.000, 4.653]], "species": ["Cu", "Os", "Rh", "Ru", "Os"], "frac_coords": [[0.500, 0.500, 0.500], [0.000, 0.000, 0.500], [0.000, 0.000, 0.000], [0.000, 0.500, 0.000], [0.500, 0.000, 0.000]], "crystal_system": "tetragonal", "dos_ef_per_ev_cell": 10.6, "ef_ev_per_atom": 2.4285}

No. 15
{"formula": "CuOsRhS2", "functional": "PBE-GGA", "state": "relaxed", "cell": [[4.278, 0.000, 0.000], [0.000, 4.669, 0.000], [0.000, 0.000, 4.278]], "species": ["Os", "Rh", "Cu", "S", "S"], "frac_coords": [[0.500, 0.500, 0.500], [0.000, 0.500, 0.000], [0.000, 0.000, 0.000], [0.500, 0.000, 0.000], [0.000, 0.000, 0.500]], "crystal_system": "tetragonal", "dos_ef_per_ev_cell": 5.9}

| no. | E (eV/cell) |
| --- | --- |
| 1 | -32.5 |
| 2 | -32.1 |
| 3 | -32.1 |
| 4 | -33.0 |
| 5 | -41.6 |
| 6 | -32.0 |
| 7 | -26.0 |
| 8 | -25.4 |
| 9 | -26.3 |
| 10 | -33.1 |
| 11 | -33.2 |
| 12 | -32.3 |
| 13 | -32.4 |
| 14 | -31.0 |
| 15 | -23.6 |